[1]
Ac2PuP2N6 | PBE | relaxed

Output
**Volume**: 15.10 Å³/atom
**M_tot**: 3.8 Bohr magnetons per cell
**Formation energy from raw total energies**: -0.925 eV/atom

a b c (Å): 6.8160 6.8160 6.8160
angles (deg): 49.09 49.09 49.09
Atoms (fractional coordinates):
Ac 0.2128 0.2128 0.2128
Ac 0.7872 0.7872 0.7872
Pu 0.0000 0.0000 0.0000
P 0.3986 0.3986 0.3986
P 0.6014 0.6014 0.6014
N 0.2549 0.7394 0.7394
N 0.2606 0.2606 0.7451
N 0.2606 0.7451 0.2606
N 0.7394 0.2549 0.7394
N 0.7394 0.7394 0.2549
N 0.7451 0.2606 0.2606



[2]
AcPuPN4 | PBE | relaxed

Output
**Volume**: 14.78 Å³/atom
**M_tot**: 8.0 Bohr magnetons per cell
**Formation energy from raw total energies**: -1.017 eV/atom

a b c (Å): 5.4942 5.6024 7.0797
angles (deg): 90.00 108.32 90.00
Atoms (fractional coordinates):
Ac 0.2068 0.2500 0.4220
Ac 0.7932 0.7500 0.5780
Pu 0.2876 0.2500 0.9576
Pu 0.7124 0.7500 0.0424
P 0.2642 0.7500 0.1847
P 0.7358 0.2500 0.8153
N 0.0776 0.7500 0.3299
N 0.0817 0.7500 0.9488
N 0.4594 0.5169 0.2262
N 0.4594 0.9831 0.2262
N 0.5406 0.0169 0.7738
N 0.5406 0.4831 0.7738
N 0.9183 0.2500 0.0512
N 0.9224 0.2500 0.6701



[3]
RbAc2P2N6 | PBE | relaxed

Output
**Volume**: 22.11 Å³/atom
**M_tot**: 1.0 Bohr magnetons per cell
**Formation energy from raw total energies**: -0.665 eV/atom

a b c (Å): 6.6644 6.6644 6.9471
angles (deg): 113.59 113.59 63.27
Atoms (fractional coordinates):
Rb 0.0000 0.0000 0.0000
Ac 0.3193 0.3193 0.6983
Ac 0.6807 0.6807 0.3017
P 0.3418 0.3418 0.2535
P 0.6582 0.6582 0.7465
N 0.1079 0.4847 0.3272
N 0.4259 0.4259 0.1265
N 0.4847 0.1079 0.3272
N 0.5153 0.8921 0.6728
N 0.5741 0.5741 0.8735
N 0.8921 0.5153 0.6728